Record 1
First-principles (PBE) data for a geometry-optimized TaSbCF2 structure, as listed in the Alexandria database.

Values from the calculation:
E_form (uncorrected)   332 meV/atom

Cell and atoms, written as CIF:
```
data_TaSbCF2
_chemical_formula_sum 'Ta1 Sb1 C1 F2'
_symmetry_space_group_name_H-M 'P 4/m m m'
_symmetry_Int_Tables_number 123
_symmetry_space_group_name_Hall '-P 4 2'
_cell_length_a 3.899
_cell_length_b 3.899
_cell_length_c 5.967
_cell_angle_alpha 90.00
_cell_angle_beta 90.00
_cell_angle_gamma 90.00
loop_
_atom_site_label
_atom_site_type_symbol
_atom_site_fract_x
_atom_site_fract_y
_atom_site_fract_z
_atom_site_occupancy
Ta1 Ta 0.000 0.000 0.000 1
Sb1 Sb 0.000 0.000 0.500 1
C1 C 0.500 0.500 0.000 1
F1 F 0.000 0.500 0.500 1
```

***

Record 2
First-principles (PBE) data for a geometry-optimized TaSbC2F structure, as listed in the Alexandria database.

Values from the calculation:
E_form (uncorrected)   1978 meV/atom

Cell and atoms, written as CIF:
```
data_TaSbC2F
_chemical_formula_sum 'Ta1 Sb1 C2 F1'
_symmetry_space_group_name_H-M 'P 4/m m m'
_symmetry_Int_Tables_number 123
_symmetry_space_group_name_Hall '-P 4 2'
_cell_length_a 4.117
_cell_length_b 4.117
_cell_length_c 4.103
_cell_angle_alpha 90.00
_cell_angle_beta 90.00
_cell_angle_gamma 90.00
loop_
_atom_site_label
_atom_site_type_symbol
_atom_site_fract_x
_atom_site_fract_y
_atom_site_fract_z
_atom_site_occupancy
Ta1 Ta 0.000 0.000 0.000 1
Sb1 Sb 0.500 0.500 0.000 1
C1 C 0.000 0.500 0.500 1
F1 F 0.500 0.500 0.500 1
```

***

What did the first record say?
First-principles (PBE) data for a geometry-optimized TaSbCF2 structure, as listed in the Alexandria database.

Values from the calculation:
E_form (uncorrected)   332 meV/atom

Cell and atoms, written as CIF:
```
data_TaSbCF2
_chemical_formula_sum 'Ta1 Sb1 C1 F2'
_symmetry_space_group_name_H-M 'P 4/m m m'
_symmetry_Int_Tables_number 123
_symmetry_space_group_name_Hall '-P 4 2'
_cell_length_a 3.899
_cell_length_b 3.899
_cell_length_c 5.967
_cell_angle_alpha 90.00
_cell_angle_beta 90.00
_cell_angle_gamma 90.00
loop_
_atom_site_label
_atom_site_type_symbol
_atom_site_fract_x
_atom_site_fract_y
_atom_site_fract_z
_atom_site_occupancy
Ta1 Ta 0.000 0.000 0.000 1
Sb1 Sb 0.000 0.000 0.500 1
C1 C 0.500 0.500 0.000 1
F1 F 0.000 0.500 0.500 1
```